(1)
! PBE MgU2Ge3Rh4, optimized geometry; values from VASP
&SYSTEM
  ibrav = 0, nat = 10, ntyp = 4
/
ATOMIC_SPECIES
Mg 24.30 Mg.upf
U 238.03 U.upf
Ge 72.64 Ge.upf
Rh 102.91 Rh.upf
CELL_PARAMETERS angstrom
4.006 0.000 0.000
0.000 4.006 0.000
0.000 0.000 11.247
ATOMIC_POSITIONS crystal
Mg 0.000 0.000 0.000
U 0.000 0.500 0.747
U 0.500 0.000 0.253
Ge 0.000 0.500 0.374
Ge 0.500 0.000 0.626
Ge 0.500 0.500 0.000
Rh 0.000 0.000 0.500
Rh 0.000 0.500 0.158
Rh 0.500 0.000 0.842
Rh 0.500 0.500 0.500
! Energy of formation   -523 meV/atom
! Calculated total energy   -72.66 eV/f.u.
! Density of states at the Fermi level   1.600 states/eV/atom


(2)
! PBE Y2MgGe3Rh4, optimized geometry; values from VASP
&SYSTEM
  ibrav = 0, nat = 10, ntyp = 4
/
ATOMIC_SPECIES
Y 88.91 Y.upf
Mg 24.30 Mg.upf
Ge 72.64 Ge.upf
Rh 102.91 Rh.upf
CELL_PARAMETERS angstrom
4.105 0.000 0.000
0.000 4.105 0.000
0.000 0.000 10.776
ATOMIC_POSITIONS crystal
Y 0.000 0.500 0.241
Y 0.500 0.000 0.759
Mg 0.000 0.000 0.500
Ge 0.000 0.500 0.872
Ge 0.500 0.000 0.128
Ge 0.500 0.500 0.500
Rh 0.000 0.000 0.000
Rh 0.000 0.500 0.646
Rh 0.500 0.000 0.354
Rh 0.500 0.500 0.000
! Energy of formation   -824 meV/atom
! Calculated total energy   -66.02 eV/f.u.
! Density of states at the Fermi level   0.715 states/eV/atom


(3)
! PBE YMgGe2Rh2, optimized geometry; values from VASP
&SYSTEM
  ibrav = 0, nat = 6, ntyp = 4
/
ATOMIC_SPECIES
Y 88.91 Y.upf
Mg 24.30 Mg.upf
Ge 72.64 Ge.upf
Rh 102.91 Rh.upf
CELL_PARAMETERS angstrom
4.290 0.000 0.000
-2.145 3.715 0.000
0.000 0.000 6.669
ATOMIC_POSITIONS crystal
Y 0.000 0.000 0.000
Mg 0.000 0.000 0.500
Ge 0.333 0.667 0.260
Ge 0.667 0.333 0.740
Rh 0.333 0.667 0.646
Rh 0.667 0.333 0.354
! Energy of formation   -787 meV/atom
! Calculated total energy   -36.72 eV/f.u.
! Density of states at the Fermi level   0.563 states/eV/atom


(4)
! PBE Mg2ZnGe2Rh5, optimized geometry; values from VASP
&SYSTEM
  ibrav = 0, nat = 20, ntyp = 4
/
ATOMIC_SPECIES
Mg 24.30 Mg.upf
Zn 65.41 Zn.upf
Ge 72.64 Ge.upf
Rh 102.91 Rh.upf
CELL_PARAMETERS angstrom
9.670 0.000 0.000
0.000 9.670 0.000
0.000 0.000 3.334
ATOMIC_POSITIONS crystal
Mg 0.170 0.330 0.000
Mg 0.330 0.830 0.000
Mg 0.670 0.170 0.000
Mg 0.830 0.670 0.000
Zn 0.000 0.000 0.000
Zn 0.500 0.500 0.000
Ge 0.132 0.632 0.000
Ge 0.368 0.132 0.000
Ge 0.632 0.868 0.000
Ge 0.868 0.368 0.000
Rh 0.000 0.500 0.500
Rh 0.071 0.802 0.500
Rh 0.198 0.071 0.500
Rh 0.302 0.571 0.500
Rh 0.429 0.302 0.500
Rh 0.500 0.000 0.500
Rh 0.571 0.698 0.500
Rh 0.698 0.429 0.500
Rh 0.802 0.929 0.500
Rh 0.929 0.198 0.500
! Energy of formation   -506 meV/atom
! Calculated total energy   -55.51 eV/f.u.
! Density of states at the Fermi level   0.276 states/eV/atom


(5)
! PBE Mg2Zn2GeRh5, optimized geometry; values from VASP
&SYSTEM
  ibrav = 0, nat = 20, ntyp = 4
/
ATOMIC_SPECIES
Mg 24.30 Mg.upf
Zn 65.41 Zn.upf
Ge 72.64 Ge.upf
Rh 102.91 Rh.upf
CELL_PARAMETERS angstrom
9.944 0.000 0.000
0.000 9.944 0.000
0.000 0.000 3.143
ATOMIC_POSITIONS crystal
Mg 0.167 0.333 0.000
Mg 0.333 0.833 0.000
Mg 0.667 0.167 0.000
Mg 0.833 0.667 0.000
Zn 0.137 0.637 0.000
Zn 0.363 0.137 0.000
Zn 0.637 0.863 0.000
Zn 0.863 0.363 0.000
Ge 0.000 0.000 0.000
Ge 0.500 0.500 0.000
Rh 0.000 0.500 0.500
Rh 0.043 0.805 0.500
Rh 0.195 0.043 0.500
Rh 0.305 0.543 0.500
Rh 0.457 0.305 0.500
Rh 0.500 0.000 0.500
Rh 0.543 0.695 0.500
Rh 0.695 0.457 0.500
Rh 0.805 0.957 0.500
Rh 0.957 0.195 0.500
! Energy of formation   -357 meV/atom
! Calculated total energy   -50.68 eV/f.u.
! Density of states at the Fermi level   0.595 states/eV/atom


(6)
! PBE MgZnGeRh, optimized geometry; values from VASP
&SYSTEM
  ibrav = 0, nat = 4, ntyp = 4
/
ATOMIC_SPECIES
Mg 24.30 Mg.upf
Zn 65.41 Zn.upf
Ge 72.64 Ge.upf
Rh 102.91 Rh.upf
CELL_PARAMETERS angstrom
0.000 3.129 3.129
3.129 0.000 3.129
3.129 3.129 0.000
ATOMIC_POSITIONS crystal
Mg 0.000 0.000 0.000
Zn 0.250 0.250 0.250
Ge 0.750 0.750 0.750
Rh 0.500 0.500 0.500
! Energy of formation   -264 meV/atom
! Calculated total energy   -15.89 eV/f.u.
! Energy above the most stable polymorph in this dataset   0 meV/atom
! Density of states at the Fermi level   0.388 states/eV/atom


(7)
! PBE MgZnGeRh, optimized geometry; values from VASP
&SYSTEM
  ibrav = 0, nat = 4, ntyp = 4
/
ATOMIC_SPECIES
Mg 24.30 Mg.upf
Zn 65.41 Zn.upf
Ge 72.64 Ge.upf
Rh 102.91 Rh.upf
CELL_PARAMETERS angstrom
2.086 1.205 4.558
-2.086 1.205 4.558
0.000 -2.409 4.558
ATOMIC_POSITIONS crystal
Mg 0.000 0.000 0.000
Zn 0.418 0.418 0.418
Ge 0.813 0.813 0.813
Rh 0.208 0.208 0.208
! Energy of formation   -171 meV/atom
! Calculated total energy   -15.52 eV/f.u.
! Energy above the most stable polymorph in this dataset   92 meV/atom
! Density of states at the Fermi level   0.494 states/eV/atom


(8)
! PBE MgGe2Ru2, optimized geometry; values from VASP
&SYSTEM
  ibrav = 0, nat = 10, ntyp = 3
/
ATOMIC_SPECIES
Mg 24.30 Mg.upf
Ge 72.64 Ge.upf
Ru 101.07 Ru.upf
CELL_PARAMETERS angstrom
0.000 4.512 8.218
2.348 0.000 8.218
2.348 4.512 0.000
ATOMIC_POSITIONS crystal
Mg 0.125 0.125 0.125
Mg 0.875 0.875 0.875
Ge 0.254 0.254 0.496
Ge 0.496 0.496 0.254
Ge 0.504 0.504 0.746
Ge 0.746 0.746 0.504
Ru 0.207 0.543 0.207
Ru 0.457 0.793 0.457
Ru 0.543 0.207 0.543
Ru 0.793 0.457 0.793
! Energy of formation   -58 meV/atom
! Calculated total energy   -29.67 eV/f.u.
! Density of states at the Fermi level   0.490 states/eV/atom


(9)
! PBE MgGeRu2, optimized geometry; values from VASP
&SYSTEM
  ibrav = 0, nat = 8, ntyp = 3
/
ATOMIC_SPECIES
Mg 24.30 Mg.upf
Ge 72.64 Ge.upf
Ru 101.07 Ru.upf
CELL_PARAMETERS angstrom
-3.561 3.561 2.674
3.561 -3.561 2.674
3.561 3.561 -2.674
ATOMIC_POSITIONS crystal
Mg 0.000 0.000 0.000
Mg 0.750 0.250 0.500
Ge 0.250 0.750 0.500
Ge 0.500 0.500 0.000
Ru 0.179 0.125 0.554
Ru 0.375 0.821 0.946
Ru 0.571 0.625 0.446
Ru 0.875 0.429 0.054
! Energy of formation   308 meV/atom
! Calculated total energy   -23.53 eV/f.u.
! Density of states at the Fermi level   1.372 states/eV/atom


(10)
! PBE MgGe2Ru, optimized geometry; values from VASP
&SYSTEM
  ibrav = 0, nat = 4, ntyp = 3
/
ATOMIC_SPECIES
Mg 24.30 Mg.upf
Ge 72.64 Ge.upf
Ru 101.07 Ru.upf
CELL_PARAMETERS angstrom
2.081 1.202 4.711
-2.081 1.202 4.711
0.000 -2.403 4.711
ATOMIC_POSITIONS crystal
Mg 0.000 0.000 0.000
Ge 0.219 0.219 0.219
Ge 0.428 0.428 0.428
Ru 0.808 0.808 0.808
! Energy of formation   -166 meV/atom
! Calculated total energy   -20.77 eV/f.u.
! Density of states at the Fermi level   0.587 states/eV/atom


(11)
! PBE MgGeRu2, optimized geometry; values from VASP
&SYSTEM
  ibrav = 0, nat = 4, ntyp = 3
/
ATOMIC_SPECIES
Mg 24.30 Mg.upf
Ge 72.64 Ge.upf
Ru 101.07 Ru.upf
CELL_PARAMETERS angstrom
3.074 0.000 0.000
0.000 3.074 0.000
0.000 0.000 6.209
ATOMIC_POSITIONS crystal
Mg 0.000 0.000 0.000
Ge 0.000 0.000 0.500
Ru 0.500 0.500 0.275
Ru 0.500 0.500 0.725
! Energy of formation   -148 meV/atom
! Calculated total energy   -25.35 eV/f.u.
! Density of states at the Fermi level   1.287 states/eV/atom


(12)
! PBE MgGe2Ru2, optimized geometry; values from VASP
&SYSTEM
  ibrav = 0, nat = 10, ntyp = 3
/
ATOMIC_SPECIES
Mg 24.30 Mg.upf
Ge 72.64 Ge.upf
Ru 101.07 Ru.upf
CELL_PARAMETERS angstrom
7.196 0.000 0.000
0.000 7.196 0.000
0.000 0.000 2.946
ATOMIC_POSITIONS crystal
Mg 0.000 0.000 0.000
Mg 0.500 0.500 0.000
Ge 0.143 0.357 0.000
Ge 0.357 0.857 0.000
Ge 0.643 0.143 0.000
Ge 0.857 0.643 0.000
Ru 0.152 0.652 0.500
Ru 0.348 0.152 0.500
Ru 0.652 0.848 0.500
Ru 0.848 0.348 0.500
! Energy of formation   -266 meV/atom
! Calculated total energy   -30.71 eV/f.u.
! Density of states at the Fermi level   0.344 states/eV/atom


- Which formula does entry 8 have?
  MgGe2Ru2


- Number 11 is which compound?
  MgGeRu2